Entry from the Alexandria database: a relaxed VMoF3 crystal (PBE with a Hubbard U).

Computed properties:
- theoretical density (g/cm3) = 4.017
- energy above the most stable polymorph in this dataset (eV per atom) = 0.636
- total energy (eV per atom) = -5.075

Unit cell a=4.384 b=4.384 c=4.384 alpha=90.00 beta=90.00 gamma=90.00
Space group Pm-3m (No. 221)
Inequivalent atoms, fractional coordinates:
V 0.000 0.000 0.000 (multiplicity 1)
Mo 0.500 0.500 0.500 (multiplicity 1)
F 0.000 0.500 0.500 (multiplicity 3)